Record 1
Here is a relaxed LiIn6Bi3 crystal from Alexandria. Energies are from PBE.

* total DFT energy (no corrections): -3.01 eV/atom
* formation energy from the elements: -0.0154 eV/atom

abc: 9.1043 9.1043 9.1043
angles: 109.64 109.64 109.64
Closest atoms and distances in Å follow each position.
Positions (direct):
Li 0.0000 0.0000 0.0000  6 Bi 3.33, 6 In 3.51
Li 0.5000 0.5000 0.5000  6 Bi 3.04
In 0.0351 0.6918 0.1401  4 In 3.16-3.50, 3 Bi 3.17-3.41, 1 Li 3.51
In 0.1401 0.0351 0.6918  4 In 3.16-3.50, 3 Bi 3.17-3.41, 1 Li 3.51
In 0.1539 0.4046 0.6443  3 Bi 3.16-3.47, 3 In 3.16-3.50
In 0.3082 0.8599 0.9649  4 In 3.16-3.50, 3 Bi 3.17-3.41, 1 Li 3.51
In 0.3557 0.8461 0.5954  3 Bi 3.16-3.47, 3 In 3.16-3.50
In 0.4046 0.6443 0.1539  3 Bi 3.16-3.47, 3 In 3.16-3.50
In 0.5954 0.3557 0.8461  3 Bi 3.16-3.47, 3 In 3.16-3.50
In 0.6443 0.1539 0.4046  3 Bi 3.16-3.47, 3 In 3.16-3.50
In 0.6918 0.1401 0.0351  4 In 3.16-3.50, 3 Bi 3.17-3.41, 1 Li 3.51
In 0.8461 0.5954 0.3557  3 Bi 3.16-3.47, 3 In 3.16-3.50
In 0.8599 0.9649 0.3082  4 In 3.16-3.50, 3 Bi 3.17-3.41, 1 Li 3.51
In 0.9649 0.3082 0.8599  4 In 3.16-3.50, 3 Bi 3.17-3.41, 1 Li 3.51
Bi 0.1143 0.4145 0.2903  2 Li 3.04-3.33, 4 In 3.16-3.33
Bi 0.2903 0.1143 0.4145  2 Li 3.04-3.33, 4 In 3.16-3.33
Bi 0.4145 0.2903 0.1143  2 Li 3.04-3.33, 4 In 3.16-3.33
Bi 0.5855 0.7097 0.8857  2 Li 3.04-3.33, 4 In 3.16-3.33
Bi 0.7097 0.8857 0.5855  2 Li 3.04-3.33, 4 In 3.16-3.33
Bi 0.8857 0.5855 0.7097  2 Li 3.04-3.33, 4 In 3.16-3.33

***

Record 2
Here is a relaxed Li3InBi3 crystal from Alexandria. Energies are from PBE.

* offset from the most stable computed form: 327 kJ/mol of formula units
* total DFT energy (no corrections): -2.64 eV/atom
* formation energy from the elements: 0.2379 eV/atom

abc: 7.6236 7.6236 7.6236
angles: 90.00 90.00 90.00
Closest atoms and distances in Å follow each position.
Positions (direct):
Li 0.0000 0.2500 0.5000  4 Bi 2.70
Li 0.0000 0.7500 0.5000  4 Bi 2.70
Li 0.2500 0.5000 0.0000  4 Bi 2.70
Li 0.5000 0.0000 0.2500  4 Bi 2.70
Li 0.5000 0.0000 0.7500  4 Bi 2.70
Li 0.7500 0.5000 0.0000  4 Bi 2.70
In 0.0000 0.0000 0.0000  12 Li 4.26, 12 Bi 4.26
In 0.5000 0.5000 0.5000  12 Li 4.26, 12 Bi 4.26
Bi 0.0000 0.5000 0.2500  4 Li 2.70
Bi 0.0000 0.5000 0.7500  4 Li 2.70
Bi 0.2500 0.0000 0.5000  4 Li 2.70
Bi 0.5000 0.2500 0.0000  4 Li 2.70
Bi 0.5000 0.7500 0.0000  4 Li 2.70
Bi 0.7500 0.0000 0.5000  4 Li 2.70

***

Record 3
Here is a relaxed Li5In4Bi crystal from Alexandria. Energies are from PBE.

* total DFT energy (no corrections): -2.73 eV/atom
* formation energy from the elements: -0.2867 eV/atom

abc: 3.4954 3.4954 16.7641
angles: 90.00 90.00 90.00
Closest atoms and distances in Å follow each position.
Positions (direct):
Li 0.0000 0.0000 0.0000  8 In 2.94, 2 Li 3.20
Li 0.0000 0.0000 0.1908  8 In 2.94-2.95, 2 Li 3.20-3.29
Li 0.0000 0.0000 0.3869  4 In 3.00, 4 Bi 3.12, 1 Li 3.29
Li 0.0000 0.0000 0.6131  4 In 3.00, 4 Bi 3.12, 1 Li 3.29
Li 0.0000 0.0000 0.8092  8 In 2.94-2.95, 2 Li 3.20-3.29
In 0.5000 0.5000 0.0952  8 Li 2.94-2.95, 2 In 3.19
In 0.5000 0.5000 0.2854  8 Li 2.94-3.00, 1 In 3.19
In 0.5000 0.5000 0.7146  8 Li 2.94-3.00, 1 In 3.19
In 0.5000 0.5000 0.9048  8 Li 2.94-2.95, 2 In 3.19
Bi 0.5000 0.5000 0.5000  8 Li 3.12

***

Record 4
Here is a relaxed Li2In5Bi4 crystal from Alexandria. Energies are from PBE.

* total DFT energy (no corrections): -3.08 eV/atom
* formation energy from the elements: -0.0747 eV/atom

abc: 8.3379 3.4636 10.5195
angles: 90.00 90.20 90.00
Closest atoms and distances in Å follow each position.
Positions (direct):
Li 0.0613 0.0000 0.1338  1 Li 2.99, 2 In 3.02-3.19, 6 Bi 3.10-3.16
Li 0.9387 0.0000 0.8662  1 Li 2.99, 2 In 3.02-3.19, 6 Bi 3.10-3.16
In 0.1822 0.0000 0.6540  1 Li 3.02, 1 In 3.11
In 0.4394 0.0000 0.1794  1 Li 3.19, 6 Bi 3.40-3.49, 3 In 3.41-3.46
In 0.5000 0.0000 0.5000  6 In 3.11-3.46
In 0.5606 0.0000 0.8206  1 Li 3.19, 6 Bi 3.40-3.49, 3 In 3.41-3.46
In 0.8178 0.0000 0.3460  1 Li 3.02, 1 In 3.11
Bi 0.1690 0.5000 0.3629  2 Li 3.10, 4 In 3.41-3.44, 2 Bi 3.46
Bi 0.2427 0.5000 0.9367  4 Li 3.10-3.16, 2 In 3.40, 2 Bi 3.46
Bi 0.7573 0.5000 0.0633  4 Li 3.10-3.16, 2 In 3.40, 2 Bi 3.46
Bi 0.8310 0.5000 0.6371  2 Li 3.10, 4 In 3.41-3.44, 2 Bi 3.46

***

Record 5
Here is a relaxed LiInBi2 crystal from Alexandria. Energies are from PBE.

* total DFT energy (no corrections): -3.24 eV/atom
* formation energy from the elements: -0.1368 eV/atom

abc: 4.9564 4.9564 4.4751
angles: 90.00 90.00 90.00
Closest atoms and distances in Å follow each position.
Positions (direct):
Li 0.0000 0.0000 0.0000  8 Bi 3.34, 4 In 3.50
In 0.5000 0.5000 0.0000  8 Bi 3.34, 4 Li 3.50
Bi 0.0000 0.5000 0.5000  4 Li 3.34, 4 In 3.34, 4 Bi 3.50
Bi 0.5000 0.0000 0.5000  4 Li 3.34, 4 In 3.34, 4 Bi 3.50

***

Record 6
Here is a relaxed Li3InBi3 crystal from Alexandria. Energies are from PBE.

* offset from the most stable computed form: 0 kJ/mol of formula units
* total DFT energy (no corrections): -3.12 eV/atom
* formation energy from the elements: -0.2459 eV/atom

abc: 6.7504 6.7504 8.1051
angles: 90.06 90.06 91.93
Closest atoms and distances in Å follow each position.
Positions (direct):
Li 0.2336 0.7664 0.0000  6 Bi 3.07-3.21, 2 In 3.10
Li 0.2458 0.7542 0.5000  6 Bi 3.00-3.10
Li 0.2536 0.2536 0.4999  6 Bi 3.06-3.10, 4 Li 3.37-3.38
Li 0.7464 0.7464 0.5001  6 Bi 3.06-3.10, 4 Li 3.37-3.38
Li 0.7542 0.2458 0.5000  6 Bi 3.00-3.10
Li 0.7664 0.2336 0.0000  6 Bi 3.07-3.21, 2 In 3.10
In 0.3181 0.3181 0.0005  2 Li 3.10, 4 Bi 3.33, 1 In 3.41
In 0.6819 0.6819 0.9995  2 Li 3.10, 4 Bi 3.33, 1 In 3.41
Bi 0.9997 0.9997 0.2559  6 Li 3.07-3.10, 4 Bi 3.38
Bi 0.0003 0.0003 0.7441  6 Li 3.07-3.10, 4 Bi 3.38
Bi 0.9997 0.4998 0.2696  6 Li 3.00-3.21, 2 In 3.33
Bi 0.0003 0.5002 0.7304  6 Li 3.00-3.21, 2 In 3.33
Bi 0.4998 0.9997 0.2696  6 Li 3.00-3.21, 2 In 3.33
Bi 0.5002 0.0003 0.7304  6 Li 3.00-3.21, 2 In 3.33

***

Record 7
Here is a relaxed LiIn15Bi4 crystal from Alexandria. Energies are from PBE.

* total DFT energy (no corrections): -2.94 eV/atom
* formation energy from the elements: -0.0113 eV/atom

abc: 5.0399 5.0399 22.1312
angles: 90.00 90.00 90.00
Closest atoms and distances in Å follow each position.
Positions (direct):
Li 0.0000 0.0000 0.0000  8 In 3.18
In 0.0000 0.5000 0.0876  2 Li 3.18, 4 In 3.18-3.47, 2 Bi 3.27
In 0.0000 0.5000 0.2920  8 In 3.31-3.56, 4 Bi 3.36-3.51
In 0.0000 0.5000 0.5000  8 In 3.40-3.56, 4 Bi 3.47
In 0.0000 0.5000 0.7080  8 In 3.31-3.56, 4 Bi 3.36-3.51
In 0.0000 0.5000 0.9124  4 In 3.18-3.47, 2 Li 3.18, 2 Bi 3.27
In 0.5000 0.0000 0.0876  2 Li 3.18, 4 In 3.18-3.47, 2 Bi 3.27
In 0.5000 0.0000 0.2920  8 In 3.31-3.56, 4 Bi 3.36-3.51
In 0.5000 0.0000 0.5000  8 In 3.40-3.56, 4 Bi 3.47
In 0.5000 0.0000 0.7080  8 In 3.31-3.56, 4 Bi 3.36-3.51
In 0.5000 0.0000 0.9124  4 In 3.18-3.47, 2 Li 3.18, 2 Bi 3.27
In 0.5000 0.5000 0.0000  8 In 3.18
In 0.5000 0.5000 0.1952  8 In 3.31-3.47, 4 Bi 3.58
In 0.5000 0.5000 0.3971  8 In 3.40-3.43, 4 Bi 3.57
In 0.5000 0.5000 0.6029  8 In 3.40-3.43, 4 Bi 3.57
In 0.5000 0.5000 0.8048  8 In 3.31-3.47, 4 Bi 3.58
Bi 0.0000 0.0000 0.1818  12 In 3.27-3.58
Bi 0.0000 0.0000 0.3925  12 In 3.36-3.57
Bi 0.0000 0.0000 0.6075  12 In 3.36-3.57
Bi 0.0000 0.0000 0.8182  12 In 3.27-3.58

***

Record 8
Here is a relaxed Li2In2Bi3 crystal from Alexandria. Energies are from PBE.

* total DFT energy (no corrections): -3.12 eV/atom
* formation energy from the elements: -0.1235 eV/atom

abc: 4.7684 7.0711 7.0764
angles: 67.45 71.04 71.08
Closest atoms and distances in Å follow each position.
Positions (direct):
Li 0.0930 0.0423 0.2513  5 Bi 2.84-3.08
Li 0.9070 0.9577 0.7487  5 Bi 2.84-3.08
In 0.2075 0.3974 0.6635  2 In 3.15-3.33, 3 Bi 3.16-3.25
In 0.7925 0.6026 0.3365  2 In 3.15-3.33, 3 Bi 3.16-3.25
Bi 0.4055 0.7298 0.0012  3 Li 3.00-3.08, 2 Bi 3.08-3.28, 2 In 3.16-3.25
Bi 0.5000 0.0000 0.5000  4 Li 2.84-2.90, 2 In 3.18
Bi 0.5945 0.2702 0.9988  3 Li 3.00-3.08, 2 Bi 3.08-3.28, 2 In 3.16-3.25

***

Record 9
Here is a relaxed LiInBi3 crystal from Alexandria. Energies are from PBE.

* offset from the most stable computed form: 0 kJ/mol of formula units
* total DFT energy (no corrections): -3.06 eV/atom
* formation energy from the elements: 0.1965 eV/atom

abc: 5.2937 5.2937 5.2937
angles: 90.00 90.00 90.00
Closest atoms and distances in Å follow each position.
Positions (direct):
Li 0.0000 0.0000 0.0000  6 Bi 2.65
In 0.5000 0.5000 0.5000  12 Bi 3.74
Bi 0.0000 0.0000 0.5000  2 Li 2.65
Bi 0.0000 0.5000 0.0000  2 Li 2.65
Bi 0.5000 0.0000 0.0000  2 Li 2.65

***

Record 10
Here is a relaxed Li4In3Bi crystal from Alexandria. Energies are from PBE.

* total DFT energy (no corrections): -2.77 eV/atom
* formation energy from the elements: -0.3035 eV/atom

abc: 9.6614 7.1838 4.8311
angles: 90.00 90.00 90.00
Closest atoms and distances in Å follow each position.
Positions (direct):
Li 0.0000 0.2446 0.0000  6 In 2.99-3.03, 2 Bi 3.03
Li 0.0000 0.7554 0.0000  6 In 2.99-3.03, 2 Bi 3.03
Li 0.2500 0.2443 0.4967  6 In 2.98-3.04, 2 Bi 3.03
Li 0.2500 0.7557 0.4967  6 In 2.98-3.04, 2 Bi 3.03
Li 0.5000 0.2446 0.0000  6 In 2.99-3.03, 2 Bi 3.03
Li 0.5000 0.7554 0.0000  6 In 2.99-3.03, 2 Bi 3.03
Li 0.7500 0.2443 0.5033  6 In 2.98-3.04, 2 Bi 3.03
Li 0.7500 0.7557 0.5033  6 In 2.98-3.04, 2 Bi 3.03
In 0.0000 0.0000 0.5000  8 Li 2.99
In 0.2500 0.0000 0.9970  8 Li 2.98-2.99
In 0.2500 0.5000 0.9979  8 Li 3.03-3.04
In 0.5000 0.0000 0.5000  8 Li 2.99
In 0.7500 0.0000 0.0030  8 Li 2.98-2.99
In 0.7500 0.5000 0.0021  8 Li 3.03-3.04
Bi 0.0000 0.5000 0.5000  8 Li 3.03
Bi 0.5000 0.5000 0.5000  8 Li 3.03